1.
DFT (PBE-GGA) results for La3SnRu after structural relaxation.

Values from the calculation:
symmetry = Pnma, No. 62
VASP energy = -5.888 eV per atom
V = 156 Å³/f.u.

The structure in extended XYZ format:
```
20
Lattice="7.564 0.000 0.000 0.000 9.491 0.000 0.000 0.000 8.708" Properties=species:S:1:pos:R:3 pbc="T T T"
La 0.901 0.671 1.332
La 0.901 4.074 1.332
La 1.220 2.373 6.508
La 2.562 7.118 2.154
La 2.881 5.417 5.686
La 2.881 8.819 5.686
La 4.683 0.671 3.022
La 4.683 4.074 3.022
La 5.003 2.373 6.554
La 6.344 7.118 2.200
La 6.663 5.417 7.376
La 6.663 8.819 7.376
Sn 0.000 0.000 4.354
Sn 0.000 4.745 4.354
Sn 3.782 0.000 0.000
Sn 3.782 4.745 0.000
Ru 0.885 7.118 0.108
Ru 2.897 2.373 4.462
Ru 4.667 7.118 4.246
Ru 6.679 2.373 8.601
```



2.
DFT (PBE-GGA) results for La2Sn2Ru after structural relaxation.

Values from the calculation:
symmetry = I4/mmm, No. 139
VASP energy = -5.478 eV per atom
V = 143 Å³/f.u.

The structure in extended XYZ format:
```
5
Lattice="-1.986 1.986 9.054 1.986 -1.986 9.054 1.986 1.986 -9.054" Properties=species:S:1:pos:R:3 pbc="T T T"
La 0.000 0.000 1.613
La 0.000 0.000 16.495
Sn 1.986 0.000 4.527
Sn 0.000 1.986 4.527
Ru 0.000 0.000 9.054
```



3.
DFT (PBE-GGA) results for La3Sn3Ru2 after structural relaxation.

Values from the calculation:
symmetry = Cmcm, No. 63
VASP energy = -6.247 eV per atom
V = 206 Å³/f.u.

The structure in extended XYZ format:
```
16
Lattice="2.399 -5.413 0.000 2.399 5.413 0.000 0.000 0.000 15.831" Properties=species:S:1:pos:R:3 pbc="T T T"
La 2.399 4.780 9.687
La 2.399 4.780 14.059
La 2.399 1.655 11.873
La 2.399 -1.655 3.958
La 2.399 -4.780 1.772
La 2.399 -4.780 6.143
Sn 2.399 1.627 8.430
Sn 2.399 1.627 15.316
Sn 2.399 1.613 3.958
Sn 2.399 -1.613 11.873
Sn 2.399 -1.627 0.515
Sn 2.399 -1.627 7.400
Ru 2.399 3.340 1.728
Ru 2.399 3.340 6.187
Ru 2.399 -3.340 9.644
Ru 2.399 -3.340 14.102
```



4.
DFT (PBE-GGA) results for La3Sn3Ru after structural relaxation.

Values from the calculation:
symmetry = C2/m, No. 12
VASP energy = -5.818 eV per atom
V = 200 Å³/f.u.

The structure in extended XYZ format:
```
14
Lattice="5.856 -2.303 0.000 5.856 2.303 0.000 -4.816 0.000 14.861" Properties=species:S:1:pos:R:3 pbc="T T T"
La -1.646 0.000 5.702
La -3.224 0.000 13.656
La 1.652 0.000 3.630
La 5.244 0.000 11.231
La 10.120 0.000 1.204
La 8.542 0.000 9.158
Sn 1.728 0.000 6.927
Sn 0.040 0.000 13.743
Sn 1.814 0.000 11.345
Sn 5.082 0.000 3.516
Sn 6.857 0.000 1.117
Sn 5.169 0.000 7.934
Ru 0.001 0.000 9.215
Ru 6.896 0.000 5.646
```